1) Below is crystalline FeHgBr4 at its relaxed geometry, with properties calculated at the PBE level.

Structure (POSCAR):
```
FeHgBr4
1.0
0.0000 4.4596 4.4596
4.4596 0.0000 4.4596
4.4596 4.4596 0.0000
Fe Hg Br
1 1 4
Cartesian
0.0000 0.0000 0.0000 Fe
6.6894 6.6894 6.6894 Hg
3.3363 3.3363 3.3363 Br
5.5829 5.5829 3.3363 Br
5.5829 3.3363 5.5829 Br
3.3363 5.5829 5.5829 Br
```

Summary:
Symmetry = F-43m (216)
Calculated volume = 177.38 Å³/f.u.
N(E_F) = 13.087 states/eV per cell
Total moment = 2.70 μB per cell

---

2) Below is crystalline FeHgBr4 at its relaxed geometry, with properties calculated at the PBE level.

Structure (POSCAR):
```
FeHgBr4
1.0
6.2501 0.0000 0.0000
0.0000 6.2501 0.0000
0.0000 0.0000 11.3389
Fe Hg Br
2 2 8
Cartesian
0.0000 3.1251 2.8347 Fe
3.1251 0.0000 8.5042 Fe
0.0000 0.0000 0.0000 Hg
0.0000 0.0000 5.6695 Hg
1.4630 1.7496 4.1765 Br
1.4630 4.5005 1.4930 Br
1.7496 1.4630 9.8460 Br
1.7496 4.7871 7.1625 Br
4.5005 1.4630 7.1625 Br
4.5005 4.7871 9.8460 Br
4.7871 1.7496 1.4930 Br
4.7871 4.5005 4.1765 Br
```

Summary:
Symmetry = P-42c (112)
Calculated volume = 221.47 Å³/f.u.
N(E_F) = 7.941 states/eV per cell
Total moment = 8.00 μB per cell

---

Least stable: 1)

---

1) Below is crystalline Fe3HgBr at its relaxed geometry, with properties calculated at the PBE level.

Structure (POSCAR):
```
Fe3HgBr
1.0
5.0027 0.0000 0.0000
0.0000 5.0027 0.0000
0.0000 0.0000 5.0027
Fe Hg Br
3 1 1
Cartesian
0.0000 0.0000 2.5014 Fe
0.0000 2.5014 0.0000 Fe
2.5014 0.0000 0.0000 Fe
0.0000 0.0000 0.0000 Hg
2.5014 2.5014 2.5014 Br
```

Summary:
Symmetry = Pm-3m (221)
Calculated volume = 125.21 Å³/f.u.
N(E_F) = 7.795 states/eV per cell
Total moment = 10.33 μB per cell

---

2) Below is crystalline Fe3HgBr at its relaxed geometry, with properties calculated at the PBE level.

Structure (POSCAR):
```
Fe3HgBr
1.0
4.4564 0.0000 0.0000
0.0000 4.4564 0.0000
0.0000 0.0000 4.4564
Fe Hg Br
3 1 1
Cartesian
0.0000 0.0000 2.2282 Fe
0.0000 2.2282 0.0000 Fe
2.2282 0.0000 0.0000 Fe
2.2282 2.2282 2.2282 Hg
0.0000 0.0000 0.0000 Br
```

Summary:
Symmetry = Pm-3m (221)
Calculated volume = 88.50 Å³/f.u.
N(E_F) = 2.703 states/eV per cell
Total moment = 7.02 μB per cell

---

Least stable: 1)